[1]
Density functional theory data (PBE) for CrN2 after structural relaxation.

Properties
As for the total energy: -51.1 eV per cell.

Cell: 2.9263 4.5255 5.4651 Å, 90.00 90.00 90.00°
Each line ends with the local moment (μB).
Positions (direct):
Cr: 0.0000 0.0000 0.9273  1.82
Cr: 0.0000 0.5000 0.4273  1.82
N: 0.0000 0.8608 0.5877  -0.08
N: 0.0000 0.1392 0.5877  -0.08
N: 0.0000 0.3608 0.0877  -0.08
N: 0.0000 0.6392 0.0877  -0.08

=====

[2]
Density functional theory data (PBE) for CeMgAgHg after structural relaxation.

Properties
The value obtained for the formation energy is -0.288 eV per atom. The offset from the most stable computed form is 0 meV per atom.

Cell: 5.1132 5.1133 5.1098 Å, 120.04 120.02 90.00°
Each line ends with the local moment (μB).
Positions (direct):
Ce: 0.2500 0.7500 0.5000  0.72
Mg: 0.7500 0.2500 0.5000  0.00
Ag: 0.0000 0.9999 0.0000  0.00
Hg: 0.5000 0.5001 0.0000  0.01

=====

[3]
Density functional theory data (PBE) for CaZnSi4 after structural relaxation.

Properties
As for the total energy: -24.7 eV per cell.

Cell: 5.2464 5.2464 5.2464 Å, 60.00 60.00 60.00°
Positions (direct):
Ca: 0.0000 0.0000 0.0000
Zn: 0.7500 0.7500 0.7500
Si: 0.8740 0.3753 0.3753
Si: 0.3753 0.3753 0.8740
Si: 0.3753 0.8740 0.3753
Si: 0.3753 0.3753 0.3753

=====

[4]
Density functional theory data (PBE) for InGeS4 after structural relaxation.

Properties
As for the total energy: -25.1 eV per cell.

Cell: 5.6015 5.6015 6.3641 Å, 116.11 116.11 90.00°
Each line ends with the local moment (μB).
Positions (direct):
In: 0.7500 0.2500 0.5000  0.00
Ge: 0.5000 0.5000 0.0000  -0.01
S: 0.3641 0.8375 0.2439  0.17
S: 0.8798 0.4065 0.2439  0.17
S: 0.1625 0.1202 0.7561  0.17
S: 0.5935 0.6359 0.7561  0.17

=====

[5]
Density functional theory data (PBE) for HgBiI3 after structural relaxation.

Properties
The offset from the most stable computed form is 30 meV per atom.

Cell: 6.4233 8.8095 8.8125 Å, 90.00 90.00 89.39°
Positions (direct):
Hg: 0.5033 0.5186 0.7500
Hg: 0.4967 0.4814 0.2500
Bi: 0.9538 0.9996 0.7500
Bi: 0.0462 0.0004 0.2500
I: 0.9887 0.7510 0.5026
I: 0.0113 0.2490 0.4974
I: 0.9887 0.7510 0.9974
I: 0.0113 0.2490 0.0026
I: 0.5073 0.0319 0.7500
I: 0.4927 0.9681 0.2500

=====

[6]
Density functional theory data (PBE) for AgPPd2 after structural relaxation.

Properties
The value obtained for the formation energy is -0.174 eV per atom.

Cell: 2.9926 2.9926 6.9278 Å, 90.00 90.00 90.00°
Positions (direct):
P: 0.5000 0.5000 0.0000
Pd: 0.0000 0.0000 0.7918
Pd: 0.0000 0.0000 0.2082
Ag: 0.5000 0.5000 0.5000

=====

[7]
Density functional theory data (PBE) for BaLiV2 after structural relaxation.

Properties
The value obtained for the formation energy is 1.202 eV per atom. The offset from the most stable computed form is 89 meV per atom.

Cell: 5.2440 5.2440 5.2440 Å, 60.00 60.00 60.00°
Each line ends with the local moment (μB).
Positions (direct):
V: 0.2500 0.2500 0.2500  2.80
V: 0.7500 0.7500 0.7500  2.80
Ba: 0.5000 0.5000 0.5000  0.21
Li: 0.0000 0.0000 0.0000  0.00